A geometry-optimized PmPr2In2 structure. Source: Alexandria via LeMat-Bulk, functional PBE.

a b c (Å): 5.1029 7.2187 8.5156
angles (deg): 90.00 90.00 90.00
Space group Immm (No. 71)
Asymmetric unit:
Pm (0.0000, 0.0000, 0.0000) [2 per cell]
Pr (0.0000, 0.5000, 0.1940) [4 per cell]
In (0.0000, 0.2077, 0.5000) [4 per cell]

Calculated total energy, eV/atom: -4.35